DFT (PBE-GGA) results for crystalline TaGaSn2Se at its relaxed geometry.

Unit cell a=5.1941 b=5.0423 c=5.1941 alpha=90.00 beta=90.00 gamma=90.00
With the nearest neighbours (Å) after each atom.
Element x y z (fractional)
Ta 0.0000 0.5000 0.0000  2 Ga 2.52
Sn 0.0000 0.0000 0.5000  2 Ga 2.60
Se 0.5000 0.5000 0.5000  8 Sn 3.62, 4 Ta 3.67
Ga 0.0000 0.0000 0.0000  2 Ta 2.52, 4 Sn 2.60
Sn 0.5000 0.0000 0.0000  2 Ga 2.60

Calculated values
- Energy: -4.31 eV/atom
- Spin magnetization: 0.37 μB/atom